[1]
Below is a relaxed structure of BeTc2Pb, with properties calculated at the PBE level.

Cell and atoms, written as CIF:
```
data_BeTc2Pb
_chemical_formula_sum 'Be1 Tc2 Pb1'
_space_group_name_H-M_alt 'P 4/m m m'
_space_group_IT_number 123
_space_group_name_Hall '-P 4 2'
_cell_length_a 4.3493
_cell_length_b 4.3493
_cell_length_c 3.3108
_cell_angle_alpha 90.00
_cell_angle_beta 90.00
_cell_angle_gamma 90.00
loop_
_atom_site_label
_atom_site_fract_x
_atom_site_fract_y
_atom_site_fract_z
Be1 0.0000 0.0000 0.0000
Tc1 0.0000 0.5000 0.5000
Pb1 0.5000 0.5000 0.0000
```

[2]
Below is a relaxed structure of BeTc2Pb, with properties calculated at the PBE level.

Cell and atoms, written as CIF:
```
data_BeTc2Pb
_chemical_formula_sum 'Be1 Tc2 Pb1'
_space_group_name_H-M_alt 'P 1 m 1'
_space_group_IT_number 6
_cell_length_a 3.0069
_cell_length_b 4.1617
_cell_length_c 5.3601
_cell_angle_alpha 90.00
_cell_angle_beta 106.28
_cell_angle_gamma 90.00
loop_
_space_group_symop_operation_xyz
'x,y,z'
'x,-y,z'
loop_
_atom_site_label
_atom_site_fract_x
_atom_site_fract_y
_atom_site_fract_z
Be1 0.0000 0.0000 0.0000
Tc1 0.3065 0.0000 0.6111
Tc2 0.9080 0.5000 0.8044
Pb1 0.6388 0.5000 0.2690
```

[3]
Below is a relaxed structure of BeTc2Pb, with properties calculated at the PBE level.

Cell and atoms, written as CIF:
```
data_BeTc2Pb
_chemical_formula_sum 'Be2 Tc4 Pb2'
_space_group_name_H-M_alt 'I m m m'
_space_group_IT_number 71
_space_group_name_Hall '-I 2 2'
_cell_length_a 3.1670
_cell_length_b 4.6157
_cell_length_c 8.3223
_cell_angle_alpha 90.00
_cell_angle_beta 90.00
_cell_angle_gamma 90.00
loop_
_atom_site_label
_atom_site_fract_x
_atom_site_fract_y
_atom_site_fract_z
Be1 0.0000 0.0000 0.0000
Tc1 0.0000 0.5000 0.2963
Pb1 0.0000 0.0000 0.5000
```

[4]
Below is a relaxed structure of BeTcPb2, with properties calculated at the PBE level.

Cell and atoms, written as CIF:
```
data_BeTcPb2
_chemical_formula_sum 'Be2 Tc2 Pb4'
_space_group_name_H-M_alt 'C 1 m 1'
_space_group_IT_number 8
_cell_length_a 12.9620
_cell_length_b 3.3935
_cell_length_c 4.1992
_cell_angle_alpha 90.00
_cell_angle_beta 107.78
_cell_angle_gamma 90.00
loop_
_space_group_symop_operation_xyz
'x,y,z'
'x,-y,z'
'x+1/2,y+1/2,z'
'x+1/2,-y+1/2,z'
loop_
_atom_site_label
_atom_site_fract_x
_atom_site_fract_y
_atom_site_fract_z
Be1 0.0000 0.0000 0.0000
Tc1 0.3785 0.0000 0.8842
Pb1 0.0690 0.5000 0.5663
Pb2 0.3116 0.5000 0.3206
```

| no. | final energy (eV per atom) |
| --- | --- |
| 1 | -6.32 |
| 2 | -6.54 |
| 3 | -6.59 |
| 4 | -4.84 |